# VGa2Ni8 PBE optimized geometry
data_VGa2Ni8
_cell_length_a 3.7755
_cell_length_b 6.0899
_cell_length_c 6.0899
_cell_angle_alpha 106.44
_cell_angle_beta 90.04
_cell_angle_gamma 90.04
_space_group_name_H-M_alt 'P 1'
_space_group_IT_number 1
_space_group_name_Hall 'P 1'
loop_
_atom_site_label
_atom_site_fract_x
_atom_site_fract_y
_atom_site_fract_z
V1 0.5000 0.0000 0.0000
Ni1 0.9995 0.7023 0.9601
Ni2 0.5006 0.3293 0.3293
Ni3 0.5000 0.2399 0.7601
Ni4 0.0005 0.2977 0.0399
Ni5 0.0005 0.0399 0.2977
Ni6 0.9995 0.9601 0.7023
Ni7 0.5000 0.7601 0.2399
Ni8 0.4994 0.6707 0.6707
Ga1 0.0000 0.3713 0.6287
Ga2 0.0000 0.6287 0.3713
# V ... 134 Å³/cell
# Excess energy over the best structure of this formula in the dataset ... 0.00 eV/f.u.
# DFT formation energy ... -0.9 eV per formula unit
# E ... -5.6668 eV per atom

***

# Rh2IO PBE optimized geometry
data_Rh2IO
_cell_length_a 4.3717
_cell_length_b 4.3717
_cell_length_c 4.3717
_cell_angle_alpha 60.00
_cell_angle_beta 60.00
_cell_angle_gamma 60.00
_space_group_name_H-M_alt 'P 1'
_space_group_IT_number 1
_space_group_name_Hall 'P 1'
loop_
_atom_site_label
_atom_site_fract_x
_atom_site_fract_y
_atom_site_fract_z
Rh1 0.7500 0.7500 0.7500
Rh2 0.2500 0.2500 0.2500
I1 0.5000 0.5000 0.5000
O1 0.0000 0.0000 0.0000
# V ... 59 Å³/cell
# Excess energy over the best structure of this formula in the dataset ... 1.64 eV/f.u.
# E ... -4.8373 eV per atom
# Raw formation energy ... 466 meV per atom

***

# Dy3Mg2Zn2 PBE optimized geometry
data_Dy3Mg2Zn2
_cell_length_a 5.8266
_cell_length_b 5.8292
_cell_length_c 8.1300
_cell_angle_alpha 102.01
_cell_angle_beta 107.97
_cell_angle_gamma 129.81
_space_group_name_H-M_alt 'P 1'
_space_group_IT_number 1
_space_group_name_Hall 'P 1'
loop_
_atom_site_label
_atom_site_fract_x
_atom_site_fract_y
_atom_site_fract_z
Mg1 0.8849 0.5061 0.1958
Mg2 0.1151 0.4939 0.8042
Dy1 0.3079 0.0615 0.6851
Dy2 0.0000 0.0000 0.0000
Dy3 0.6921 0.9385 0.3149
Zn1 0.4547 0.6751 0.5641
Zn2 0.5453 0.3249 0.4359
# V ... 168 Å³/cell
# DFT formation energy ... -1.3 eV per formula unit
# E ... -2.9714 eV per atom

***

Q: What is the E in the second record?
A: -4.8373 eV per atom

***

Copy entry 3 word for word.
# Dy3Mg2Zn2 PBE optimized geometry
data_Dy3Mg2Zn2
_cell_length_a 5.8266
_cell_length_b 5.8292
_cell_length_c 8.1300
_cell_angle_alpha 102.01
_cell_angle_beta 107.97
_cell_angle_gamma 129.81
_space_group_name_H-M_alt 'P 1'
_space_group_IT_number 1
_space_group_name_Hall 'P 1'
loop_
_atom_site_label
_atom_site_fract_x
_atom_site_fract_y
_atom_site_fract_z
Mg1 0.8849 0.5061 0.1958
Mg2 0.1151 0.4939 0.8042
Dy1 0.3079 0.0615 0.6851
Dy2 0.0000 0.0000 0.0000
Dy3 0.6921 0.9385 0.3149
Zn1 0.4547 0.6751 0.5641
Zn2 0.5453 0.3249 0.4359
# V ... 168 Å³/cell
# DFT formation energy ... -1.3 eV per formula unit
# E ... -2.9714 eV per atom

***

Q: Which formula does entry 2 have?
A: Rh2IO

***

What did the first record say?
# VGa2Ni8 PBE optimized geometry
data_VGa2Ni8
_cell_length_a 3.7755
_cell_length_b 6.0899
_cell_length_c 6.0899
_cell_angle_alpha 106.44
_cell_angle_beta 90.04
_cell_angle_gamma 90.04
_space_group_name_H-M_alt 'P 1'
_space_group_IT_number 1
_space_group_name_Hall 'P 1'
loop_
_atom_site_label
_atom_site_fract_x
_atom_site_fract_y
_atom_site_fract_z
V1 0.5000 0.0000 0.0000
Ni1 0.9995 0.7023 0.9601
Ni2 0.5006 0.3293 0.3293
Ni3 0.5000 0.2399 0.7601
Ni4 0.0005 0.2977 0.0399
Ni5 0.0005 0.0399 0.2977
Ni6 0.9995 0.9601 0.7023
Ni7 0.5000 0.7601 0.2399
Ni8 0.4994 0.6707 0.6707
Ga1 0.0000 0.3713 0.6287
Ga2 0.0000 0.6287 0.3713
# V ... 134 Å³/cell
# Excess energy over the best structure of this formula in the dataset ... 0.00 eV/f.u.
# DFT formation energy ... -0.9 eV per formula unit
# E ... -5.6668 eV per atom